No. 1
VASP calculation (PBE) on a geometry-optimized Ac8CeSn5 structure.

Lattice parameters (Å, degrees): 10.2063 10.2063 10.2108 90.00 90.00 90.00
Last column: nearest neighbours and their distance in Å.
Space group I-4 (No. 82)
Asymmetric unit:
Ac 0.0731 0.1683 0.1995  5 Sn 3.40-3.66, 1 Ce 3.50, 1 Ac 3.75
Ac 0.0762 0.3153 0.5624  5 Sn 3.37-3.70
Ce 0.0000 0.5000 0.2500  8 Ac 3.50-3.79
Sn 0.0000 0.0000 0.5000  8 Ac 3.37-3.60
Sn 0.1291 0.2508 0.8816  8 Ac 3.37-3.70

Values from the calculation:
ΔE_f: -0.426 eV per atom

No. 2
VASP calculation (PBE) on a geometry-optimized Ac5Ce2Sn4 structure.

Lattice parameters (Å, degrees): 3.6879 8.0862 29.9749 90.00 90.00 90.00
Last column: nearest neighbours and their distance in Å.
Space group Immm (No. 71)
Asymmetric unit:
Ac 0.0000 0.0000 0.0000  4 Sn 3.26
Ac 0.0000 0.2602 0.3892  3 Sn 3.40-3.47, 2 Ac 3.69, 1 Ce 3.73
Ce 0.0000 0.5000 0.2830  1 Sn 3.11
Sn 0.0000 0.1677 0.5000  1 Sn 2.71
Sn 0.0000 0.5000 0.1793  1 Ce 3.11, 4 Ac 3.47

Values from the calculation:
ΔE_f: 0.072 eV per atom

No. 3
VASP calculation (PBE) on a geometry-optimized AcCe4Sn5 structure.

Lattice parameters (Å, degrees): 3.5790 3.5790 22.5540 90.00 90.00 90.00
Last column: nearest neighbours and their distance in Å.
Space group P4/mmm (No. 123)
Asymmetric unit:
Ac 0.0000 0.0000 0.0000  8 Sn 3.52, 4 Ac 3.58
Ce 0.0000 0.0000 0.2064  8 Sn 3.36, 4 Ce 3.58
Ce 0.0000 0.0000 0.4020  8 Sn 3.36, 4 Ce 3.58
Sn 0.5000 0.5000 0.1084  4 Ce 3.36, 4 Ac 3.52, 4 Sn 3.58
Sn 0.5000 0.5000 0.3041  8 Ce 3.36, 4 Sn 3.58
Sn 0.5000 0.5000 0.5000  8 Ce 3.36, 4 Sn 3.58

Values from the calculation:
ΔE_f: -0.580 eV per atom

No. 4
VASP calculation (PBE) on a geometry-optimized AcCe4Sn15 structure.

Lattice parameters (Å, degrees): 4.7642 4.7642 23.7200 90.00 90.00 90.00
Last column: nearest neighbours and their distance in Å.
Space group P4/mmm (No. 123)
Asymmetric unit:
Ac 0.0000 0.0000 0.0000  12 Sn 3.37-3.48
Ce 0.0000 0.0000 0.2065  12 Sn 3.32-3.37
Ce 0.0000 0.0000 0.4018  12 Sn 3.33-3.37
Sn 0.0000 0.5000 0.1071  8 Sn 3.33-3.48, 2 Ce 3.35, 2 Ac 3.48
Sn 0.0000 0.5000 0.3039  4 Ce 3.32-3.33, 8 Sn 3.33-3.37
Sn 0.0000 0.5000 0.5000  8 Sn 3.33-3.37, 4 Ce 3.33
Sn 0.5000 0.5000 0.0000  4 Ac 3.37, 8 Sn 3.48
Sn 0.5000 0.5000 0.2052  8 Sn 3.33-3.34, 4 Ce 3.37
Sn 0.5000 0.5000 0.4020  8 Sn 3.33, 4 Ce 3.37

Values from the calculation:
ΔE_f: -0.524 eV per atom

no.,N(E_F) (states/eV/atom)
1,1.369
2,2.198
3,2.724
4,1.180